## Zr2Cr2F3 (PBE+U)

Data for Zr2Cr2F3 after structural relaxation.

Output
Raw total energy in eV per formula unit: -46.94
Size of the total moment in μB/f.u.: 8.36
Distance to the lowest polymorph of the same formula in meV/atom: 63

Geometry as CIF:
```
data_Zr2Cr2F3
_chemical_formula_sum 'Zr8 Cr8 F12'
_cell_length_a 6.889
_cell_length_b 10.701
_cell_length_c 6.374
_cell_angle_alpha 90.00
_cell_angle_beta 94.17
_cell_angle_gamma 90.00
_symmetry_space_group_name_H-M 'C 1 m 1'
_symmetry_Int_Tables_number 8
loop_
_symmetry_equiv_pos_as_xyz
'x,y,z'
'x,-y,z'
'x+1/2,y+1/2,z'
'x+1/2,-y+1/2,z'
loop_
_atom_site_label
_atom_site_type_symbol
_atom_site_fract_x
_atom_site_fract_y
_atom_site_fract_z
_atom_site_occupancy
Zr1 Zr 0.000 0.000 0.000 1
Zr2 Zr 0.072 0.500 0.905 1
Zr3 Zr 0.289 0.255 0.089 1
Cr1 Cr 0.177 0.000 0.430 1
Cr2 Cr 0.254 0.500 0.371 1
Cr3 Cr 0.495 0.292 0.655 1
F1 F 0.005 0.500 0.572 1
F2 F 0.225 0.123 0.813 1
F3 F 0.303 0.220 0.425 1
F4 F 0.347 0.000 0.135 1
```